1.
The following is a DFT calculation (PBE-GGA) of a relaxed structure of LiAl2Pd.

The structure in CIF format:
```
data_LiAl2Pd
_space_group_name_H-M_alt 'R 3 m'
_space_group_IT_number 160
_space_group_name_Hall 'R 3 -2"'
_cell_length_a 4.2812
_cell_length_b 4.2812
_cell_length_c 12.7139
_cell_angle_alpha 90.00
_cell_angle_beta 90.00
_cell_angle_gamma 120.00
loop_
_atom_site_label
_atom_site_type_symbol
_atom_site_fract_x
_atom_site_fract_y
_atom_site_fract_z
Li1 Li 0.0000 0.0000 0.0000
Al1 Al 0.0000 0.0000 0.2151
Al2 Al 0.0000 0.0000 0.4368
Pd1 Pd 0.0000 0.0000 0.8000
```

Summary:
The excess energy over the best structure of this formula in the dataset comes out at 167 meV per atom. Its density of states at the Fermi level is 4.050 states/eV/cell. The total energy comes out at -4.1118 eV per atom. The calculation puts the formation enthalpy at 0 K at -1.9 eV/f.u. Its spin magnetization is 0.00 μB/f.u.



2.
The following is a DFT calculation (PBE-GGA) of a relaxed structure of In2Ag2I.

The structure in CIF format:
```
data_In2Ag2I
_space_group_name_H-M_alt 'P 4/m b m'
_space_group_IT_number 127
_space_group_name_Hall '-P 4 2ab'
_cell_length_a 8.376
_cell_length_b 8.376
_cell_length_c 3.662
_cell_angle_alpha 90.00
_cell_angle_beta 90.00
_cell_angle_gamma 90.00
loop_
_atom_site_label
_atom_site_type_symbol
_atom_site_fract_x
_atom_site_fract_y
_atom_site_fract_z
In1 In 0.174 0.326 0.000
Ag1 Ag 0.120 0.620 0.500
I1 I 0.000 0.000 0.500
```

Summary:
The excess energy over the best structure of this formula in the dataset comes out at 0 meV per atom. Its density of states at the Fermi level is 3.247 states/eV/cell. The total energy comes out at -2.5077 eV per atom. As for the uncorrected formation energy: 0.0382 eV/atom. Its spin magnetization is 0.00 μB/f.u.



3.
The following is a DFT calculation (PBE-GGA) of a relaxed structure of TiTcSb3.

The structure in CIF format:
```
data_TiTcSb3
_space_group_name_H-M_alt 'P m -3 m'
_space_group_IT_number 221
_space_group_name_Hall '-P 4 2 3'
_cell_length_a 5.157
_cell_length_b 5.157
_cell_length_c 5.157
_cell_angle_alpha 90.00
_cell_angle_beta 90.00
_cell_angle_gamma 90.00
loop_
_atom_site_label
_atom_site_type_symbol
_atom_site_fract_x
_atom_site_fract_y
_atom_site_fract_z
Ti1 Ti 0.000 0.000 0.000
Tc1 Tc 0.500 0.500 0.500
Sb1 Sb 0.000 0.500 0.500
```

Summary:
The excess energy over the best structure of this formula in the dataset comes out at 0 meV per atom. Its density of states at the Fermi level is 7.029 states/eV/cell. The total energy comes out at -5.3625 eV per atom. As for the uncorrected formation energy: 0.7631 eV/atom. Its spin magnetization is 2.59 μB/f.u.



4.
The following is a DFT calculation (PBE-GGA) of a relaxed structure of La2YBe.

The structure in CIF format:
```
data_La2YBe
_space_group_name_H-M_alt 'I -4 m 2'
_space_group_IT_number 119
_space_group_name_Hall 'I -4 -2'
_cell_length_a 4.738
_cell_length_b 4.738
_cell_length_c 9.907
_cell_angle_alpha 90.00
_cell_angle_beta 90.00
_cell_angle_gamma 90.00
loop_
_atom_site_label
_atom_site_type_symbol
_atom_site_fract_x
_atom_site_fract_y
_atom_site_fract_z
La1 La 0.000 0.000 0.000
La2 La 0.000 0.500 0.250
Y1 Y 0.000 0.500 0.750
Be1 Be 0.000 0.000 0.500
```

Summary:
Its density of states at the Fermi level is 9.837 states/eV/cell. The total energy comes out at -4.7181 eV per atom. The calculation puts the formation enthalpy at 0 K at 1.2 eV/f.u. Its spin magnetization is 0.00 μB/f.u.